# 1
# Te2Pt2O5 (PBE, relaxed)
data_Te2Pt2O5
_symmetry_space_group_name_H-M 'P 1'
_symmetry_Int_Tables_number 1
_cell_length_a 3.845
_cell_length_b 3.845
_cell_length_c 8.316
_cell_angle_alpha 90.00
_cell_angle_beta 90.00
_cell_angle_gamma 90.00
loop_
_symmetry_equiv_pos_as_xyz
'x,y,z'
loop_
_atom_site_label
_atom_site_type_symbol
_atom_site_fract_x
_atom_site_fract_y
_atom_site_fract_z
Te1 Te 0.000 0.000 0.000
Te2 Te 0.000 0.000 0.500
Pt1 Pt 0.500 0.500 0.240
Pt2 Pt 0.500 0.500 0.760
O1 O 0.000 0.500 0.306
O2 O 0.000 0.500 0.694
O3 O 0.500 0.000 0.306
O4 O 0.500 0.000 0.694
O5 O 0.500 0.500 0.500
# DFT total energy in eV per atom: -4.753
# Calculated density in g cm⁻³: 9.797
# Energy relative to the lowest polymorph listed for this composition in kcal/mol of atoms: 0.00

=====

# 2
# Tl2Pt2O7 (PBE, relaxed)
data_Tl2Pt2O7
_symmetry_space_group_name_H-M 'P 1'
_symmetry_Int_Tables_number 1
_cell_length_a 7.226
_cell_length_b 7.226
_cell_length_c 7.226
_cell_angle_alpha 60.00
_cell_angle_beta 60.00
_cell_angle_gamma 60.00
loop_
_symmetry_equiv_pos_as_xyz
'x,y,z'
loop_
_atom_site_label
_atom_site_type_symbol
_atom_site_fract_x
_atom_site_fract_y
_atom_site_fract_z
Tl1 Tl 0.000 0.000 0.000
Tl2 Tl 0.000 0.000 0.500
Tl3 Tl 0.000 0.500 0.000
Tl4 Tl 0.500 0.000 0.000
Pt1 Pt 0.000 0.500 0.500
Pt2 Pt 0.500 0.000 0.500
Pt3 Pt 0.500 0.500 0.000
Pt4 Pt 0.500 0.500 0.500
O1 O 0.125 0.125 0.125
O2 O 0.164 0.164 0.586
O3 O 0.164 0.586 0.164
O4 O 0.164 0.586 0.586
O5 O 0.414 0.414 0.836
O6 O 0.414 0.836 0.414
O7 O 0.414 0.836 0.836
O8 O 0.586 0.164 0.164
O9 O 0.586 0.164 0.586
O10 O 0.586 0.586 0.164
O11 O 0.836 0.414 0.414
O12 O 0.836 0.414 0.836
O13 O 0.836 0.836 0.414
O14 O 0.875 0.875 0.875
# DFT total energy in eV per atom: -5.382
# Calculated density in g cm⁻³: 11.339

=====

# 3
# TmZn3Pt4O12 (PBE, relaxed)
data_TmZn3Pt4O12
_symmetry_space_group_name_H-M 'P 1'
_symmetry_Int_Tables_number 1
_cell_length_a 6.599
_cell_length_b 6.599
_cell_length_c 6.599
_cell_angle_alpha 109.47
_cell_angle_beta 109.47
_cell_angle_gamma 109.47
loop_
_symmetry_equiv_pos_as_xyz
'x,y,z'
loop_
_atom_site_label
_atom_site_type_symbol
_atom_site_fract_x
_atom_site_fract_y
_atom_site_fract_z
Tm1 Tm 0.000 0.000 0.000
Zn1 Zn 0.000 0.500 0.500
Zn2 Zn 0.500 0.000 0.500
Zn3 Zn 0.500 0.500 0.000
Pt1 Pt 0.000 0.000 0.500
Pt2 Pt 0.000 0.500 0.000
Pt3 Pt 0.500 0.000 0.000
Pt4 Pt 0.500 0.500 0.500
O1 O 0.129 0.295 0.834
O2 O 0.166 0.460 0.295
O3 O 0.166 0.871 0.705
O4 O 0.295 0.166 0.460
O5 O 0.295 0.834 0.129
O6 O 0.460 0.295 0.166
O7 O 0.540 0.705 0.834
O8 O 0.705 0.166 0.871
O9 O 0.705 0.834 0.540
O10 O 0.834 0.129 0.295
O11 O 0.834 0.540 0.705
O12 O 0.871 0.705 0.166
# DFT total energy in eV per atom: -5.594
# Calculated density in g cm⁻³: 10.038

=====

# 4
# Zn6PtO8 (PBE, relaxed)
data_Zn6PtO8
_symmetry_space_group_name_H-M 'P 1'
_symmetry_Int_Tables_number 1
_cell_length_a 6.080
_cell_length_b 6.080
_cell_length_c 6.080
_cell_angle_alpha 60.00
_cell_angle_beta 60.00
_cell_angle_gamma 60.00
loop_
_symmetry_equiv_pos_as_xyz
'x,y,z'
loop_
_atom_site_label
_atom_site_type_symbol
_atom_site_fract_x
_atom_site_fract_y
_atom_site_fract_z
Zn1 Zn 0.000 0.000 0.500
Zn2 Zn 0.000 0.500 0.000
Zn3 Zn 0.000 0.500 0.500
Zn4 Zn 0.500 0.000 0.000
Zn5 Zn 0.500 0.000 0.500
Zn6 Zn 0.500 0.500 0.000
Pt1 Pt 0.000 0.000 0.000
O1 O 0.236 0.236 0.764
O2 O 0.236 0.764 0.236
O3 O 0.236 0.764 0.764
O4 O 0.250 0.250 0.250
O5 O 0.750 0.750 0.750
O6 O 0.764 0.236 0.236
O7 O 0.764 0.236 0.764
O8 O 0.764 0.764 0.236
# DFT total energy in eV per atom: -4.690
# Calculated density in g cm⁻³: 7.475

=====

# 5
# Zn2Pt2O5 (PBE, relaxed)
data_Zn2Pt2O5
_symmetry_space_group_name_H-M 'P 1'
_symmetry_Int_Tables_number 1
_cell_length_a 3.920
_cell_length_b 3.920
_cell_length_c 6.687
_cell_angle_alpha 90.00
_cell_angle_beta 90.00
_cell_angle_gamma 90.00
loop_
_symmetry_equiv_pos_as_xyz
'x,y,z'
loop_
_atom_site_label
_atom_site_type_symbol
_atom_site_fract_x
_atom_site_fract_y
_atom_site_fract_z
Zn1 Zn 0.000 0.000 0.000
Zn2 Zn 0.000 0.000 0.500
Pt1 Pt 0.500 0.500 0.189
Pt2 Pt 0.500 0.500 0.811
O1 O 0.000 0.500 0.243
O2 O 0.000 0.500 0.757
O3 O 0.500 0.000 0.243
O4 O 0.500 0.000 0.757
O5 O 0.500 0.500 0.500
# DFT total energy in eV per atom: -4.546
# Calculated density in g cm⁻³: 9.712
# Energy relative to the lowest polymorph listed for this composition in kcal/mol of atoms: 3.45

=====

# 6
# Zn2Pt2O5 (PBE, relaxed)
data_Zn2Pt2O5
_symmetry_space_group_name_H-M 'P 1'
_symmetry_Int_Tables_number 1
_cell_length_a 3.493
_cell_length_b 3.493
_cell_length_c 8.408
_cell_angle_alpha 90.00
_cell_angle_beta 90.00
_cell_angle_gamma 90.00
loop_
_symmetry_equiv_pos_as_xyz
'x,y,z'
loop_
_atom_site_label
_atom_site_type_symbol
_atom_site_fract_x
_atom_site_fract_y
_atom_site_fract_z
Zn1 Zn 0.000 0.000 0.233
Zn2 Zn 0.000 0.000 0.767
Pt1 Pt 0.500 0.500 0.000
Pt2 Pt 0.500 0.500 0.500
O1 O 0.000 0.000 0.000
O2 O 0.000 0.500 0.359
O3 O 0.000 0.500 0.641
O4 O 0.500 0.000 0.359
O5 O 0.500 0.000 0.641
# DFT total energy in eV per atom: -4.696
# Calculated density in g cm⁻³: 9.728
# Energy relative to the lowest polymorph listed for this composition in kcal/mol of atoms: 0.00

=====

# 7
# Zn2PtO4 (PBE, relaxed)
data_Zn2PtO4
_symmetry_space_group_name_H-M 'P 1'
_symmetry_Int_Tables_number 1
_cell_length_a 6.109
_cell_length_b 6.109
_cell_length_c 6.109
_cell_angle_alpha 60.00
_cell_angle_beta 60.00
_cell_angle_gamma 60.00
loop_
_symmetry_equiv_pos_as_xyz
'x,y,z'
loop_
_atom_site_label
_atom_site_type_symbol
_atom_site_fract_x
_atom_site_fract_y
_atom_site_fract_z
Zn1 Zn 0.000 0.000 0.000
Zn2 Zn 0.000 0.000 0.500
Zn3 Zn 0.000 0.500 0.000
Zn4 Zn 0.500 0.000 0.000
Pt1 Pt 0.375 0.375 0.375
Pt2 Pt 0.625 0.625 0.625
O1 O 0.222 0.759 0.759
O2 O 0.241 0.241 0.241
O3 O 0.241 0.241 0.778
O4 O 0.241 0.778 0.241
O5 O 0.759 0.222 0.759
O6 O 0.759 0.759 0.222
O7 O 0.759 0.759 0.759
O8 O 0.778 0.241 0.241
# DFT total energy in eV per atom: -4.672
# Calculated density in g cm⁻³: 8.031

=====

# 8
# Zr2PtO4 (PBE, relaxed)
data_Zr2PtO4
_symmetry_space_group_name_H-M 'P 1'
_symmetry_Int_Tables_number 1
_cell_length_a 6.542
_cell_length_b 6.542
_cell_length_c 6.542
_cell_angle_alpha 60.00
_cell_angle_beta 60.00
_cell_angle_gamma 60.00
loop_
_symmetry_equiv_pos_as_xyz
'x,y,z'
loop_
_atom_site_label
_atom_site_type_symbol
_atom_site_fract_x
_atom_site_fract_y
_atom_site_fract_z
Zr1 Zr 0.000 0.000 0.000
Zr2 Zr 0.000 0.000 0.500
Zr3 Zr 0.000 0.500 0.000
Zr4 Zr 0.500 0.000 0.000
Pt1 Pt 0.375 0.375 0.375
Pt2 Pt 0.625 0.625 0.625
O1 O 0.192 0.769 0.769
O2 O 0.231 0.231 0.231
O3 O 0.231 0.231 0.808
O4 O 0.231 0.808 0.231
O5 O 0.769 0.192 0.769
O6 O 0.769 0.769 0.192
O7 O 0.769 0.769 0.769
O8 O 0.808 0.231 0.231
# DFT total energy in eV per atom: -8.199
# Calculated density in g cm⁻³: 7.407

=====

# 9
# Zr2Pt2O5 (PBE, relaxed)
data_Zr2Pt2O5
_symmetry_space_group_name_H-M 'P 1'
_symmetry_Int_Tables_number 1
_cell_length_a 3.786
_cell_length_b 3.786
_cell_length_c 8.595
_cell_angle_alpha 90.00
_cell_angle_beta 90.00
_cell_angle_gamma 90.00
loop_
_symmetry_equiv_pos_as_xyz
'x,y,z'
loop_
_atom_site_label
_atom_site_type_symbol
_atom_site_fract_x
_atom_site_fract_y
_atom_site_fract_z
Zr1 Zr 0.000 0.000 0.235
Zr2 Zr 0.000 0.000 0.765
Pt1 Pt 0.500 0.500 0.000
Pt2 Pt 0.500 0.500 0.500
O1 O 0.000 0.000 0.000
O2 O 0.000 0.500 0.338
O3 O 0.000 0.500 0.662
O4 O 0.500 0.000 0.338
O5 O 0.500 0.000 0.662
# DFT total energy in eV per atom: -7.500
# Calculated density in g cm⁻³: 8.794
# Energy relative to the lowest polymorph listed for this composition in kcal/mol of atoms: 0.00

=====

# 10
# ZrPtO3 (PBE, relaxed)
data_ZrPtO3
_symmetry_space_group_name_H-M 'P 1'
_symmetry_Int_Tables_number 1
_cell_length_a 5.819
_cell_length_b 5.819
_cell_length_c 5.819
_cell_angle_alpha 56.78
_cell_angle_beta 56.78
_cell_angle_gamma 56.78
loop_
_symmetry_equiv_pos_as_xyz
'x,y,z'
loop_
_atom_site_label
_atom_site_type_symbol
_atom_site_fract_x
_atom_site_fract_y
_atom_site_fract_z
Zr1 Zr 0.000 0.000 0.000
Zr2 Zr 0.500 0.500 0.500
Pt1 Pt 0.250 0.250 0.250
Pt2 Pt 0.750 0.750 0.750
O1 O 0.123 0.750 0.377
O2 O 0.250 0.623 0.877
O3 O 0.377 0.123 0.750
O4 O 0.623 0.877 0.250
O5 O 0.750 0.377 0.123
O6 O 0.877 0.250 0.623
# DFT total energy in eV per atom: -7.447
# Calculated density in g cm⁻³: 8.610

=====

# 11
# Zr2Pt2O5 (PBE, relaxed)
data_Zr2Pt2O5
_symmetry_space_group_name_H-M 'P 1'
_symmetry_Int_Tables_number 1
_cell_length_a 3.594
_cell_length_b 3.594
_cell_length_c 8.055
_cell_angle_alpha 90.00
_cell_angle_beta 90.00
_cell_angle_gamma 90.00
loop_
_symmetry_equiv_pos_as_xyz
'x,y,z'
loop_
_atom_site_label
_atom_site_type_symbol
_atom_site_fract_x
_atom_site_fract_y
_atom_site_fract_z
Zr1 Zr 0.000 0.000 0.000
Zr2 Zr 0.000 0.000 0.500
Pt1 Pt 0.500 0.500 0.159
Pt2 Pt 0.500 0.500 0.841
O1 O 0.000 0.500 0.308
O2 O 0.000 0.500 0.692
O3 O 0.500 0.000 0.308
O4 O 0.500 0.000 0.692
O5 O 0.500 0.500 0.500
# DFT total energy in eV per atom: -6.976
# Calculated density in g cm⁻³: 10.414
# Energy relative to the lowest polymorph listed for this composition in kcal/mol of atoms: 12.09

=====

# 12
# Zr3PtO (PBE, relaxed)
data_Zr3PtO
_symmetry_space_group_name_H-M 'P 1'
_symmetry_Int_Tables_number 1
_cell_length_a 6.331
_cell_length_b 6.331
_cell_length_c 6.331
_cell_angle_alpha 122.40
_cell_angle_beta 122.40
_cell_angle_gamma 85.89
loop_
_symmetry_equiv_pos_as_xyz
'x,y,z'
loop_
_atom_site_label
_atom_site_type_symbol
_atom_site_fract_x
_atom_site_fract_y
_atom_site_fract_z
Zr1 Zr 0.192 0.692 0.884
Zr2 Zr 0.250 0.250 0.000
Zr3 Zr 0.308 0.192 0.500
Zr4 Zr 0.692 0.808 0.500
Zr5 Zr 0.750 0.750 0.000
Zr6 Zr 0.808 0.308 0.116
Pt1 Pt 0.250 0.750 0.500
Pt2 Pt 0.750 0.250 0.500
O1 O 0.000 0.000 0.000
O2 O 0.500 0.500 0.000
# DFT total energy in eV per atom: -8.770
# Calculated density in g cm⁻³: 9.335